Entry 1:
The following is a PBE calculation of a relaxed RuPtBr2 crystal, from the Alexandria database.

Calculated values
**Total magnetization**: 0.0 μB/cell
**E above lowest polymorph**: 0.4174 eV per atom
**Calculated density**: 9.0 g/cm³
**DFT total energy**: -16.4 eV per formula unit
**Crystal system**: orthorhombic
**Raw formation energy**: 0.57 eV/atom

a = 3.159 Å, b = 3.159 Å, c = 10.295 Å
α = 90.00°, β = 90.00°, γ = 124.83°
Atoms (fractional coordinates):
Br 0.500 0.500 0.300
Br 0.000 0.000 0.936
Pt 0.000 0.000 0.526
Ru 0.500 0.500 0.738

Entry 2:
The following is a PBE calculation of a relaxed TmGaSiPt3 crystal, from the Alexandria database.

Calculated values
**Total magnetization**: 0.0 μB/cell
**Calculated density**: 11.7 g/cm³
**DFT total energy**: -35.9 eV per formula unit
**Crystal system**: orthorhombic
**Raw formation energy**: -0.82 eV/atom

a = 5.558 Å, b = 5.553 Å, c = 8.313 Å
α = 109.51°, β = 90.00°, γ = 90.00°
Atoms (fractional coordinates):
Pt 0.250 0.262 0.523
Tm 0.750 0.312 0.623
Ga 0.250 0.105 0.210
Pt 0.500 0.248 0.000
Si 0.750 0.589 0.178
Ga 0.750 0.895 0.790
Pt 0.000 0.752 0.000
Pt 0.500 0.752 0.000
Pt 0.750 0.738 0.477
Pt 0.000 0.248 0.000
Si 0.250 0.411 0.822
Tm 0.250 0.688 0.377

Entry 3:
The following is a PBE calculation of a relaxed Sr2GaSnAu6 crystal, from the Alexandria database.

Calculated values
**Total magnetization**: 0.0 μB/cell
**Calculated density**: 10.3 g/cm³
**DFT total energy**: -35.2 eV per formula unit
**Crystal system**: orthorhombic
**Formation enthalpy at 0 K**: -49.5 kJ/mol of atoms

a = 6.015 Å, b = 9.233 Å, c = 8.929 Å
α = 90.00°, β = 90.00°, γ = 90.00°
Atoms (fractional coordinates):
Sn 0.000 0.721 0.500
Au 0.000 0.895 0.251
Au 0.759 0.519 0.000
Au 0.500 0.105 0.751
Au 0.259 0.481 0.500
Au 0.254 0.991 0.000
Au 0.000 0.895 0.749
Au 0.746 0.991 0.000
Au 0.246 0.009 0.500
Sn 0.500 0.279 0.000
Au 0.754 0.009 0.500
Sr 0.000 0.267 0.250
Ga 0.500 0.252 0.500
Sr 0.500 0.733 0.250
Au 0.741 0.481 0.500
Sr 0.000 0.267 0.750
Sr 0.500 0.733 0.750
Au 0.241 0.519 0.000
Au 0.500 0.105 0.249
Ga 0.000 0.748 0.000

Entry 4:
The following is a PBE calculation of a relaxed Rb3Tl4Br8 crystal, from the Alexandria database.

Calculated values
**Total magnetization**: 0.0 μB/cell
**Calculated density**: 4.4 g/cm³
**DFT total energy**: -43.0 eV per formula unit
**Crystal system**: monoclinic
**Raw formation energy**: -1.15 eV/atom

a = 9.615 Å, b = 9.680 Å, c = 9.680 Å
α = 89.99°, β = 119.84°, γ = 119.84°
Atoms (fractional coordinates):
Tl 0.000 0.000 0.000
Br 0.005 0.777 0.777
Tl 0.000 0.000 0.500
Br 0.500 0.247 0.753
Br 0.995 0.223 0.223
Br 0.500 0.753 0.247
Rb 0.500 0.500 0.000
Tl 0.000 0.500 0.000
Br 0.000 0.225 0.775
Br 0.553 0.780 0.780
Rb 0.500 0.000 0.500
Br 0.447 0.220 0.220
Rb 0.500 0.500 0.500
Br 0.000 0.775 0.225
Tl 0.500 0.000 0.000

Entry 5:
The following is a PBE calculation of a relaxed Pm3MgAg4 crystal, from the Alexandria database.

Calculated values
**Total magnetization**: 0.0 μB/cell
**E above lowest polymorph**: 0.1569 eV per atom
**Calculated density**: 6.8 g/cm³
**DFT total energy**: -28.1 eV per formula unit
**Crystal system**: monoclinic
**Formation enthalpy at 0 K**: -9.9 kJ/mol of atoms

a = 3.967 Å, b = 7.081 Å, c = 8.697 Å
α = 113.94°, β = 103.18°, γ = 90.00°
Atoms (fractional coordinates):
Mg 0.500 0.000 0.000
Ag 0.625 0.827 0.250
Pm 0.198 0.197 0.396
Pm 0.802 0.803 0.604
Ag 0.375 0.578 0.750
Ag 0.375 0.173 0.750
Pm 0.000 0.500 0.000
Ag 0.625 0.422 0.250

Entry 6:
The following is a PBE calculation of a relaxed Sc4AlFe crystal, from the Alexandria database.

Calculated values
**Total magnetization**: 0.0 μB/cell
**E above lowest polymorph**: 0.1723 eV per atom
**Calculated density**: 3.5 g/cm³
**DFT total energy**: -37.7 eV per formula unit
**Crystal system**: trigonal
**Formation enthalpy at 0 K**: -3.0 kJ/mol of atoms

a = 4.928 Å, b = 4.928 Å, c = 6.649 Å
α = 68.23°, β = 68.25°, γ = 60.00°
Atoms (fractional coordinates):
Sc 0.320 0.320 0.041
Fe 0.000 0.000 0.000
Al 0.500 0.500 0.500
Sc 0.879 0.879 0.364
Sc 0.680 0.680 0.959
Sc 0.121 0.121 0.636

Entry 7:
The following is a PBE calculation of a relaxed Ce2Co12SiB3 crystal, from the Alexandria database.

Calculated values
**Total magnetization**: 5.9 μB/cell
**Calculated density**: 7.9 g/cm³
**DFT total energy**: -122.2 eV per formula unit
**Crystal system**: trigonal
**Raw formation energy**: 0.02 eV/atom

a = 6.485 Å, b = 6.485 Å, c = 6.485 Å
α = 66.44°, β = 66.44°, γ = 66.44°
Last column: magnetic moment on the atom in μB.
Atoms (fractional coordinates):
Co 0.588 0.148 0.148  0.44
B 0.500 0.000 0.000  -0.05
Co 0.733 0.124 0.733  0.72
Co 0.148 0.148 0.588  0.44
Co 0.148 0.588 0.148  0.44
Co 0.124 0.733 0.733  0.72
Co 0.852 0.412 0.852  0.44
Si 0.000 0.000 0.000  -0.02
Co 0.412 0.852 0.852  0.44
Co 0.876 0.267 0.267  0.72
Co 0.733 0.733 0.124  0.72
B 0.000 0.000 0.500  -0.05
Co 0.267 0.876 0.267  0.72
Co 0.267 0.267 0.876  0.72
Ce 0.604 0.604 0.604  -0.27
B 0.000 0.500 0.000  -0.05
Ce 0.396 0.396 0.396  -0.27
Co 0.852 0.852 0.412  0.44

Entry 8:
The following is a PBE calculation of a relaxed LaCe2PbC crystal, from the Alexandria database.

Calculated values
**Total magnetization**: 1.5 μB/cell
**Calculated density**: 8.1 g/cm³
**DFT total energy**: -31.7 eV per formula unit
**Crystal system**: tetragonal
**Formation enthalpy at 0 K**: -37.5 kJ/mol of atoms

a = 5.252 Å, b = 5.002 Å, c = 5.002 Å
α = 90.00°, β = 90.00°, γ = 90.00°
Last column: magnetic moment on the atom in μB.
Atoms (fractional coordinates):
Ce 0.000 0.500 0.000  0.61
C 0.000 0.000 0.000  -0.04
Pb 0.500 0.500 0.500  -0.02
Ce 0.000 0.000 0.500  0.61
La 0.500 0.000 0.000  0.05

Entry 9:
The following is a PBE calculation of a relaxed LiRhIO6 crystal, from the Alexandria database.

Calculated values
**Total magnetization**: 2.1 μB/cell
**Calculated density**: 5.1 g/cm³
**DFT total energy**: -46.9 eV per formula unit
**Crystal system**: trigonal
**Raw formation energy**: -0.70 eV/atom

a = 5.179 Å, b = 5.179 Å, c = 9.419 Å
α = 90.00°, β = 90.00°, γ = 120.00°
Last column: magnetic moment on the atom in μB.
Atoms (fractional coordinates):
Li 0.000 0.000 0.500  0.00
O 0.010 0.364 0.637  0.07
O 0.010 0.646 0.863  0.07
Rh 0.333 0.667 0.250  0.54
Li 0.000 0.000 0.000  0.00
O 0.364 0.010 0.137  0.07
O 0.990 0.636 0.363  0.07
O 0.646 0.010 0.363  0.07
O 0.990 0.354 0.137  0.07
I 0.333 0.667 0.750  -0.01
O 0.364 0.354 0.363  0.07
O 0.646 0.636 0.137  0.07
O 0.354 0.990 0.637  0.07
Rh 0.667 0.333 0.750  0.54
O 0.354 0.364 0.863  0.07
O 0.636 0.990 0.863  0.07
O 0.636 0.646 0.637  0.07
I 0.667 0.333 0.250  -0.01

Entry 10:
The following is a PBE calculation of a relaxed HfAl2AgTe crystal, from the Alexandria database.

Calculated values
**Total magnetization**: 0.0 μB/cell
**Calculated density**: 5.6 g/cm³
**DFT total energy**: -17.7 eV per formula unit
**Crystal system**: tetragonal
**Raw formation energy**: 1.14 eV/atom

a = 5.258 Å, b = 5.029 Å, c = 5.258 Å
α = 90.00°, β = 90.00°, γ = 90.00°
Atoms (fractional coordinates):
Hf 0.500 0.500 0.500
Te 0.000 0.000 0.000
Ag 0.000 0.500 0.000
Al 0.000 0.000 0.500
Al 0.500 0.000 0.000

Entry 11:
The following is a PBE calculation of a relaxed NiBP2S crystal, from the Alexandria database.

Calculated values
**Total magnetization**: 0.0 μB/cell
**E above lowest polymorph**: 0.4773 eV per atom
**Calculated density**: 3.1 g/cm³
**DFT total energy**: -20.6 eV per formula unit
**Crystal system**: tetragonal
**Raw formation energy**: 1.37 eV/atom

a = 4.267 Å, b = 4.267 Å, c = 4.742 Å
α = 90.00°, β = 90.00°, γ = 90.00°
Atoms (fractional coordinates):
B 0.500 0.500 0.500
Ni 0.000 0.000 0.000
P 0.500 0.000 0.000
P 0.000 0.500 0.000
S 0.000 0.000 0.500

Entry 12:
The following is a PBE calculation of a relaxed Pr3Al4Ag2 crystal, from the Alexandria database.

Calculated values
**Total magnetization**: 0.0 μB/cell
**Calculated density**: 5.8 g/cm³
**DFT total energy**: -38.7 eV per formula unit
**Crystal system**: monoclinic
**Formation enthalpy at 0 K**: -39.1 kJ/mol of atoms

a = 4.703 Å, b = 6.058 Å, c = 8.878 Å
α = 111.24°, β = 90.00°, γ = 112.84°
Atoms (fractional coordinates):
Al 0.739 0.477 0.074
Ag 0.595 0.191 0.265
Pr 0.000 0.000 0.000
Pr 0.676 0.351 0.655
Pr 0.324 0.649 0.345
Al 0.976 0.951 0.636
Al 0.024 0.049 0.364
Al 0.261 0.523 0.926
Ag 0.405 0.809 0.735